KSc4Sb PBE-GGA relaxed; formation energy without anion corrections = 30.4 kJ per mole of atoms; DOS(E_F) = 1.393 states/eV per atom; total magnetization = 0.00 μB per atom; raw total energy = -0.3510 Ry per atom; space group = F-43m (216)
1.0
-3.205 0.044 5.306
1.006 4.454 4.192
-4.300 4.354 0.988
K Sc Sb
1 4 1
Direct
0.750 0.750 0.750 K
0.878 0.374 0.374 Sc
0.374 0.374 0.878 Sc
0.374 0.878 0.374 Sc
0.374 0.374 0.374 Sc
0.000 0.000 0.000 Sb